Computed, not measured: Sr2YZnSi after structural relaxation at the PBE level of DFT.

Output
crystal system = tetragonal

Cell: 5.7333 5.7333 5.4629 Å, 90.00 90.00 90.00°
Space group P4/mmm (No. 123)
One atom of each set of equivalent atoms:
1 Sr 0.0000 0.5000 0.0000 x2
2 Y 0.0000 0.0000 0.5000 x1
3 Zn 0.0000 0.0000 0.0000 x1
4 Si 0.5000 0.5000 0.5000 x1

***

Computed, not measured: AcMgCdSb after structural relaxation at the PBE level of DFT.

Output
crystal system = cubic

Cell: 7.7717 7.7717 7.7717 Å, 90.00 90.00 90.00°
Space group F-43m (No. 216)
One atom of each set of equivalent atoms:
1 Ac 0.0000 0.0000 0.0000 x4
2 Mg 0.0000 0.0000 0.5000 x4
3 Cd 0.2500 0.2500 0.7500 x4
4 Sb 0.2500 0.2500 0.2500 x4

***

Computed, not measured: SbMoPb2 after structural relaxation at the PBE level of DFT.

Output
crystal system = trigonal

Cell: 3.3220 3.3220 31.1851 Å, 90.00 90.00 120.00°
Space group R-3m (No. 166, hexagonal axes)
One atom of each set of equivalent atoms:
1 Sb 0.0000 0.0000 0.0000 x3
2 Mo 0.0000 0.0000 0.5000 x3
3 Pb 0.0000 0.0000 0.2392 x6

***

no.,formation energy without anion corrections (meV per atom),DOS(E_F) (states/eV per cell),VASP energy (eV for the cell shown)
1,357,7.72,-14.74
2,-356,14.01,-48.65
3,574,10.04,-60.23